# 1
Computed, not measured: crystalline DyH6Pt3 at its relaxed geometry at the GGA-PBE level of DFT.

Output
* E_tot: -4.596 eV per atom
* calculated density: 12.0 Mg/m³

a b c (Å): 4.6798 4.9308 5.0927
angles (deg): 80.53 75.57 66.76
Closest atoms and distances in Å follow each position.
Space group P1 (No. 1)
Asymmetric unit:
Dy  0.0000  0.0000  0.0000 (multiplicity 1)  8 H 2.40-2.59
H  0.0572  0.9083  0.5015 (multiplicity 1)  2 Pt 1.75-1.85
H  0.4571  0.3881  0.1608 (multiplicity 1)  2 Pt 1.72-1.89
H  0.5737  0.9878  0.8246 (multiplicity 1)  2 Pt 1.71-1.86
H  0.5884  0.8283  0.3345 (multiplicity 1)  2 Pt 1.73-1.80
H  0.8944  0.4119  0.3998 (multiplicity 1)  2 Pt 1.70-1.80
H  0.9391  0.5384  0.9070 (multiplicity 1)  2 Pt 1.73-1.79
Pt  0.2624  0.1508  0.4093 (multiplicity 1)  4 H 1.70-1.89
Pt  0.3635  0.3941  0.8542 (multiplicity 1)  3 H 1.72-1.86
Pt  0.7856  0.7032  0.6186 (multiplicity 1)  5 H 1.71-1.85

# 2
Computed, not measured: crystalline DyHPt2 at its relaxed geometry at the GGA-PBE level of DFT.

Output
* E_tot: -4.856 eV per atom
* calculated density: 14.9 Mg/m³

a b c (Å): 2.9942 2.9942 23.7662
angles (deg): 90.00 90.00 120.00
Closest atoms and distances in Å follow each position.
Space group R-3m (No. 166, hexagonal axes)
Asymmetric unit:
Dy  0.0000  0.0000  0.0000 (multiplicity 3)  2 Pt 2.72, 6 Dy 2.99
H  0.0000  0.0000  0.5000 (multiplicity 3)  6 Pt 2.13
Pt  0.0000  0.0000  0.1143 (multiplicity 6)  3 H 2.13

# 3
Computed, not measured: crystalline DyH2Pt at its relaxed geometry at the GGA-PBE level of DFT.

Output
* energy above the most stable polymorph in this dataset: 0.000 eV per formula unit
* calculated density: 11.1 Mg/m³

a b c (Å): 4.0955 4.0955 11.1350
angles (deg): 90.00 90.00 120.00
Closest atoms and distances in Å follow each position.
Space group R-3m (No. 166, hexagonal axes)
Asymmetric unit:
Dy  0.0000  0.0000  0.0000 (multiplicity 3)  6 H 2.37
H  0.0000  0.0000  0.3498 (multiplicity 6)  1 Pt 1.67
Pt  0.0000  0.0000  0.5000 (multiplicity 3)  2 H 1.67

# 4
Computed, not measured: crystalline DyH3Pt at its relaxed geometry at the GGA-PBE level of DFT.

Output
* E_tot: -4.709 eV per atom
* calculated density: 10.6 Mg/m³

a b c (Å): 5.7276 4.8392 8.1155
angles (deg): 90.00 90.00 90.00
Closest atoms and distances in Å follow each position.
Space group Pnma (No. 62)
Asymmetric unit:
Dy  0.2486  0.2500  0.0849 (multiplicity 4)  5 H 2.28-2.49
H  0.0959  0.0417  0.3572 (multiplicity 8)  1 Pt 1.71
H  0.1123  0.7500  0.0401 (multiplicity 4)  1 Pt 1.69
Pt  0.0511  0.7500  0.2435 (multiplicity 4)  3 H 1.69-1.71

# 5
Computed, not measured: crystalline Dy2HPt at its relaxed geometry at the GGA-PBE level of DFT.

Output
* E_tot: -5.379 eV per atom
* calculated density: 10.6 Mg/m³

a b c (Å): 3.9816 3.9816 17.7778
angles (deg): 90.00 90.00 120.00
Closest atoms and distances in Å follow each position.
Space group R-3m (No. 166, hexagonal axes)
Asymmetric unit:
Dy  0.0000  0.0000  0.2432 (multiplicity 6)  3 H 2.67, 3 Pt 2.80
H  0.0000  0.0000  0.5000 (multiplicity 3)  6 Dy 2.67
Pt  0.0000  0.0000  0.0000 (multiplicity 3)  6 Dy 2.80

# 6
Computed, not measured: crystalline DyH8Pt2 at its relaxed geometry at the GGA-PBE level of DFT.

Output
* E_tot: -4.201 eV per atom
* calculated density: 9.4 Mg/m³

a b c (Å): 8.0928 7.3323 3.7637
angles (deg): 90.00 117.57 90.00
Closest atoms and distances in Å follow each position.
Space group C2/m (No. 12)
Asymmetric unit:
Dy  0.0000  0.0000  0.0000 (multiplicity 2)  12 H 2.31-2.46
H  0.0000  0.3149  0.0000 (multiplicity 4)  2 Pt 1.88
H  0.1592  0.5000  0.6615 (multiplicity 4)  2 Pt 1.82
H  0.1609  0.1461  0.6612 (multiplicity 8)  1 Pt 1.65
Pt  0.0000  0.3076  0.5000 (multiplicity 4)  4 H 1.65-1.82

# 7
Computed, not measured: crystalline DyHPt3 at its relaxed geometry at the GGA-PBE level of DFT.

Output
* energy above the most stable polymorph in this dataset: 1.049 eV per formula unit
* calculated density: 16.2 Mg/m³

a b c (Å): 7.5033 7.5033 9.4331
angles (deg): 90.00 90.00 120.00
Closest atoms and distances in Å follow each position.
Space group R-3c (No. 167, hexagonal axes)
Asymmetric unit:
Dy  0.0000  0.0000  0.0000 (multiplicity 6)  2 H 2.36
H  0.0000  0.0000  0.2500 (multiplicity 6)  3 Pt 1.89
Pt  0.0000  0.2521  0.2500 (multiplicity 18)  1 H 1.89

# 8
Computed, not measured: crystalline DyHPt3 at its relaxed geometry at the GGA-PBE level of DFT.

Output
* energy above the most stable polymorph in this dataset: 0.000 eV per formula unit
* calculated density: 16.8 Mg/m³

a b c (Å): 5.9514 5.9514 7.2236
angles (deg): 90.00 90.00 120.00
Closest atoms and distances in Å follow each position.
Space group R3m (No. 160, hexagonal axes)
Asymmetric unit:
Dy  0.0000  0.0000  0.0000 (multiplicity 3)  1 H 2.42
H  0.0000  0.0000  0.6648 (multiplicity 3)  3 Pt 1.80
Pt  0.0155  0.5077  0.0015 (multiplicity 9)  1 H 1.80

# 9
Computed, not measured: crystalline Dy2H2Pt3 at its relaxed geometry at the GGA-PBE level of DFT.

Output
* E_tot: -5.712 eV per atom
* calculated density: 13.3 Mg/m³

a b c (Å): 4.5237 3.6186 6.9945
angles (deg): 90.00 93.48 90.00
Closest atoms and distances in Å follow each position.
Space group P2/m (No. 10)
Asymmetric unit:
Dy  0.2265  0.0000  0.2784 (multiplicity 2)  2 H 2.63
H  0.1480  0.5000  0.8618 (multiplicity 2)  2 Pt 1.78-1.81
Pt  0.2647  0.5000  0.6236 (multiplicity 2)  1 H 1.78
Pt  0.5000  0.5000  0.0000 (multiplicity 1)  2 H 1.81

# 10
Computed, not measured: crystalline DyHPt3 at its relaxed geometry at the GGA-PBE level of DFT.

Output
* energy above the most stable polymorph in this dataset: 0.303 eV per formula unit
* calculated density: 17.1 Mg/m³

a b c (Å): 4.1725 4.1725 4.1725
angles (deg): 90.00 90.00 90.00
Closest atoms and distances in Å follow each position.
Space group Pm-3m (No. 221)
Asymmetric unit:
Dy  0.0000  0.0000  0.0000 (multiplicity 1)  12 Pt 2.95
H  0.5000  0.5000  0.5000 (multiplicity 1)  6 Pt 2.09
Pt  0.0000  0.5000  0.5000 (multiplicity 3)  2 H 2.09

# 11
Computed, not measured: crystalline DyH8PtRh4 at its relaxed geometry at the GGA-PBE level of DFT.

Output
* E_tot: -4.968 eV per atom
* calculated density: 10.2 Mg/m³

a b c (Å): 5.6593 5.6593 13.7489
angles (deg): 90.00 90.00 120.00
Closest atoms and distances in Å follow each position.
Space group R3m (No. 160, hexagonal axes)
Asymmetric unit:
Dy  0.0000  0.0000  0.0000 (multiplicity 3)  4 H 2.17-2.18
H  0.0000  0.0000  0.1575 (multiplicity 3)  3 Rh 1.81
H  0.0000  0.0000  0.6170 (multiplicity 3)  4 Rh 1.85-1.90
H  0.1989  0.3979  0.5027 (multiplicity 9)  3 Rh 1.76-1.89
H  0.2120  0.4240  0.9527 (multiplicity 9)  1 Pt 1.81, 2 Rh 1.81
Pt  0.0000  0.0000  0.3849 (multiplicity 3)  3 H 1.81
Rh  0.0000  0.0000  0.7516 (multiplicity 3)  4 H 1.76-1.85
Rh  0.1691  0.3381  0.2106 (multiplicity 9)  6 H 1.81-1.90

# 12
Computed, not measured: crystalline DyHPtRh2 at its relaxed geometry at the GGA-PBE level of DFT.

Output
* E_tot: -6.360 eV per atom
* calculated density: 13.5 Mg/m³

a b c (Å): 4.1337 4.1337 4.0538
angles (deg): 90.00 90.00 90.00
Closest atoms and distances in Å follow each position.
Space group P4/mmm (No. 123)
Asymmetric unit:
Dy  0.0000  0.0000  0.0000 (multiplicity 1)  8 Rh 2.89, 4 Pt 2.92
H  0.5000  0.5000  0.5000 (multiplicity 1)  2 Pt 2.03, 4 Rh 2.07
Pt  0.5000  0.5000  0.0000 (multiplicity 1)  2 H 2.03
Rh  0.0000  0.5000  0.5000 (multiplicity 2)  2 H 2.07